Record 1
# PBE CoSbMo4N2, optimized geometry
data_CoSbMo4N2
_chemical_formula_sum 'Co1 Sb1 Mo4 N2'
_space_group_name_H-M_alt 'P 1'
_space_group_IT_number 1
_space_group_name_Hall 'P 1'
_cell_length_a 3.2396
_cell_length_b 3.2396
_cell_length_c 12.1013
_cell_angle_alpha 90.00
_cell_angle_beta 90.00
_cell_angle_gamma 120.00
loop_
_atom_site_label
_atom_site_type_symbol
_atom_site_fract_x
_atom_site_fract_y
_atom_site_fract_z
_atom_site_occupancy
N1 N 0.3333 0.6667 0.7614 1
N2 N 0.3333 0.6667 0.2386 1
Mo1 Mo 0.6667 0.3333 0.1406 1
Mo2 Mo 0.0000 0.0000 0.3117 1
Mo3 Mo 0.0000 0.0000 0.6883 1
Mo4 Mo 0.6667 0.3333 0.8594 1
Sb1 Sb 0.6667 0.3333 0.5000 1
Co1 Co 0.0000 0.0000 0.0000 1
# Symmetry: P-6m2, No. 187
# Raw total energy, eV per atom: -8.78

Record 2
# PBE Sc4Co3Mo2N3, optimized geometry
data_Sc4Co3Mo2N3
_chemical_formula_sum 'Sc8 Co6 Mo4 N6'
_space_group_name_H-M_alt 'P 1'
_space_group_IT_number 1
_space_group_name_Hall 'P 1'
_cell_length_a 5.2562
_cell_length_b 5.2562
_cell_length_c 13.1805
_cell_angle_alpha 101.52
_cell_angle_beta 101.52
_cell_angle_gamma 59.52
loop_
_atom_site_label
_atom_site_type_symbol
_atom_site_fract_x
_atom_site_fract_y
_atom_site_fract_z
_atom_site_occupancy
N1 N 0.1872 0.6561 0.4997 1
N2 N 0.0000 0.5000 0.0000 1
N3 N 0.6561 0.1872 0.9997 1
N4 N 0.3439 0.8128 0.0003 1
N5 N 0.8128 0.3439 0.5003 1
N6 N 0.5000 0.0000 0.5000 1
Mo1 Mo 0.4529 0.6199 0.3606 1
Mo2 Mo 0.3801 0.5471 0.1394 1
Mo3 Mo 0.6199 0.4529 0.8606 1
Mo4 Mo 0.5471 0.3801 0.6394 1
Sc1 Sc 0.2018 0.0232 0.5909 1
Sc2 Sc 0.7982 0.9768 0.4091 1
Sc3 Sc 0.8615 0.6951 0.5912 1
Sc4 Sc 0.1385 0.3049 0.4088 1
Sc5 Sc 0.6951 0.8615 0.0912 1
Sc6 Sc 0.0232 0.2018 0.0909 1
Sc7 Sc 0.9768 0.7982 0.9091 1
Sc8 Sc 0.3049 0.1385 0.9088 1
Co1 Co 0.4146 0.0532 0.2501 1
Co2 Co 0.9468 0.5854 0.2499 1
Co3 Co 0.0532 0.4146 0.7501 1
Co4 Co 0.5854 0.9468 0.7499 1
Co5 Co 0.1164 0.8836 0.7500 1
Co6 Co 0.8836 0.1164 0.2500 1
# Symmetry: C2/c, No. 15
# Raw total energy, eV per atom: -8.28

Record 3
# PBE CoSiMo4N2, optimized geometry
data_CoSiMo4N2
_chemical_formula_sum 'Co1 Si1 Mo4 N2'
_space_group_name_H-M_alt 'P 1'
_space_group_IT_number 1
_space_group_name_Hall 'P 1'
_cell_length_a 2.8386
_cell_length_b 2.8386
_cell_length_c 14.0168
_cell_angle_alpha 90.00
_cell_angle_beta 90.00
_cell_angle_gamma 120.00
loop_
_atom_site_label
_atom_site_type_symbol
_atom_site_fract_x
_atom_site_fract_y
_atom_site_fract_z
_atom_site_occupancy
N1 N 0.3333 0.6667 0.7484 1
N2 N 0.3333 0.6667 0.2516 1
Mo1 Mo 0.6667 0.3333 0.8498 1
Mo2 Mo 0.0000 0.0000 0.3518 1
Mo3 Mo 0.6667 0.3333 0.1502 1
Mo4 Mo 0.0000 0.0000 0.6482 1
Si1 Si 0.6667 0.3333 0.5000 1
Co1 Co 0.0000 0.0000 0.0000 1
# Symmetry: P-6m2, No. 187
# Raw total energy, eV per atom: -9.07

- Which formula does entry 3 have?
  CoSiMo4N2

- raw total energy of number 2 (Sc4Co3Mo2N3)?
  -8.28 eV per atom

- Which formula does entry 3 have?
  CoSiMo4N2

- Among the records above, which one has the highest raw total energy?
  Sc4Co3Mo2N3